[1]
## CsFeMo3 (PBE)

Data for a relaxed structure of CsFeMo3.

Results
Formation energy from the elements in meV/atom: 3689
Excess energy over the best structure of this formula in the dataset in meV/atom: 1898.7
Volume in Å³ per cell: 114.0

a b c (Å): 4.8483 4.8483 4.8483
angles (deg): 90.00 90.00 90.00
Space group Pm-3m (No. 221)
Inequivalent atoms, fractional coordinates:
Cs  0.0000  0.0000  0.0000 [1 per cell]
Fe  0.5000  0.5000  0.5000 [1 per cell]
Mo  0.0000  0.0000  0.5000 [3 per cell]

[2]
## MgZr2Rh (PBE)

Data for a relaxed structure of MgZr2Rh.

Results
Formation energy from the elements in meV/atom: -305
Excess energy over the best structure of this formula in the dataset in meV/atom: 101.3
Volume in Å³ per cell: 158.3

a b c (Å): 3.3360 4.7959 9.8959
angles (deg): 90.00 90.00 90.00
Space group Imm2 (No. 44)
Inequivalent atoms, fractional coordinates:
Mg  0.0000  0.0000  0.0000 [2 per cell]
Zr  0.0000  0.0000  0.4387 [2 per cell]
Zr  0.0000  0.5000  0.2143 [2 per cell]
Rh  0.0000  0.5000  0.7215 [2 per cell]

[3]
## InW2Se (PBE)

Data for a relaxed structure of InW2Se.

Results
Formation energy (no corrections) in eV/atom: 1.0270
Excess energy over the best structure of this formula in the dataset in meV/atom: 725.9
Volume in Å³ per cell: 146.1

a b c (Å): 3.9675 3.9675 9.2808
angles (deg): 90.00 90.00 90.00
Space group I4/mmm (No. 139)
Inequivalent atoms, fractional coordinates:
In  0.0000  0.0000  0.0000 [2 per cell]
W  0.0000  0.5000  0.2500 [4 per cell]
Se  0.0000  0.0000  0.5000 [2 per cell]

[4]
## Cu3AgIr (PBE)

Data for a relaxed structure of Cu3AgIr.

Results
Formation energy from the elements in meV/atom: 1062
Excess energy over the best structure of this formula in the dataset in meV/atom: 0.0
Volume in Å³ per cell: 100.6

a b c (Å): 4.6503 4.6503 4.6503
angles (deg): 90.00 90.00 90.00
Space group Pm-3m (No. 221)
Inequivalent atoms, fractional coordinates:
Cu  0.0000  0.0000  0.5000 [3 per cell]
Ag  0.5000  0.5000  0.5000 [1 per cell]
Ir  0.0000  0.0000  0.0000 [1 per cell]

| no. | N(E_F) (states/eV per cell) |
| --- | --- |
| 1 | 10.90 |
| 2 | 7.17 |
| 3 | 4.68 |
| 4 | 4.90 |